(1)
Entry from Alexandria via LeMat-Bulk: a relaxed structure of Sm4Er3Mg (PBE).

Structure (CIF):
```
data_Sm4Er3Mg
_chemical_formula_sum 'Sm4 Er3 Mg1'
_symmetry_space_group_name_H-M 'P 4/m m m'
_symmetry_Int_Tables_number 123
_symmetry_space_group_name_Hall '-P 4 2'
_cell_length_a 3.596
_cell_length_b 3.596
_cell_length_c 19.384
_cell_angle_alpha 90.00
_cell_angle_beta 90.00
_cell_angle_gamma 90.00
loop_
_atom_site_label
_atom_site_fract_x
_atom_site_fract_y
_atom_site_fract_z
Sm1 0.000 0.000 0.115
Sm2 0.000 0.000 0.372
Er1 0.500 0.500 0.242
Er2 0.500 0.500 0.500
Mg1 0.500 0.500 0.000
```


(2)
Entry from Alexandria via LeMat-Bulk: a relaxed structure of SmErMgSn (PBE).

Structure (CIF):
```
data_SmErMgSn
_chemical_formula_sum 'Sm4 Er4 Mg4 Sn4'
_symmetry_space_group_name_H-M 'F -4 3 m'
_symmetry_Int_Tables_number 216
_symmetry_space_group_name_Hall 'F -4 2 3'
_cell_length_a 7.529
_cell_length_b 7.529
_cell_length_c 7.529
_cell_angle_alpha 90.00
_cell_angle_beta 90.00
_cell_angle_gamma 90.00
loop_
_atom_site_label
_atom_site_fract_x
_atom_site_fract_y
_atom_site_fract_z
Sm1 0.000 0.000 0.000
Er1 0.000 0.000 0.500
Mg1 0.250 0.250 0.250
Sn1 0.250 0.250 0.750
```


(3)
Entry from Alexandria via LeMat-Bulk: a relaxed structure of SrSmErMg (PBE).

Structure (CIF):
```
data_SrSmErMg
_chemical_formula_sum 'Sr4 Sm4 Er4 Mg4'
_symmetry_space_group_name_H-M 'F -4 3 m'
_symmetry_Int_Tables_number 216
_symmetry_space_group_name_Hall 'F -4 2 3'
_cell_length_a 8.125
_cell_length_b 8.125
_cell_length_c 8.125
_cell_angle_alpha 90.00
_cell_angle_beta 90.00
_cell_angle_gamma 90.00
loop_
_atom_site_label
_atom_site_fract_x
_atom_site_fract_y
_atom_site_fract_z
Sr1 0.000 0.000 0.000
Sm1 0.000 0.000 0.500
Er1 0.250 0.250 0.250
Mg1 0.250 0.250 0.750
```


| no. | theoretical density (g/cm³) | final energy (eV/atom) | ΔH_f (0 K) (eV per formula unit) |
| --- | --- | --- | --- |
| 1 | 7.470 | -4.2748 | -0.04 |
| 2 | 7.170 | -4.1172 | -1.59 |
| 3 | 5.320 | -2.9968 | 0.57 |